First-principles (GGA-PBE) data for a geometry-optimized AlCuTc3 structure, as listed in Alexandria.

The structure in POSCAR format:
```
AlCuTc3
1.0
4.4232 0.0000 0.0000
0.0000 4.4232 0.0000
0.0000 0.0000 4.4232
Al Cu Tc
1 1 3
Direct
0.0000 0.0000 0.0000
0.5000 0.5000 0.5000
0.0000 0.0000 0.5000
0.0000 0.5000 0.0000
0.5000 0.0000 0.0000
```

formation enthalpy at 0 K	1.570	eV per atom
SG	Pm-3m (221)
size of the total moment	0.00	μB per formula unit
energy relative to the lowest polymorph listed for this composition	0.059	eV per atom

---

First-principles (GGA-PBE) data for a geometry-optimized Al2CuTc structure, as listed in Alexandria.

The structure in POSCAR format:
```
Al2CuTc
1.0
1.5213 -2.3027 0.0000
1.5213 2.3027 0.0000
0.0000 0.0000 8.1771
Al Cu Tc
2 1 1
Direct
0.0000 0.0000 0.2492
0.0000 0.0000 0.7508
0.5000 0.5000 0.5000
0.5000 0.5000 0.0000
```

formation enthalpy at 0 K	-0.125	eV per atom
SG	Cmmm (65)
size of the total moment	0.00	μB per formula unit
energy relative to the lowest polymorph listed for this composition	0.257	eV per atom

---

First-principles (GGA-PBE) data for a geometry-optimized AlCuTc structure, as listed in Alexandria.

The structure in POSCAR format:
```
AlCuTc
1.0
2.7456 0.0000 0.0000
-1.3728 2.3778 0.0000
0.0000 0.0000 6.4104
Al Cu Tc
1 1 1
Direct
0.0000 0.0000 0.0000
0.3333 0.6667 0.3206
0.6667 0.3333 0.6632
```

formation enthalpy at 0 K	0.004	eV per atom
SG	P3m1 (156)
size of the total moment	0.00	μB per formula unit
energy relative to the lowest polymorph listed for this composition	0.077	eV per atom

---

First-principles (GGA-PBE) data for a geometry-optimized Al3CuTc structure, as listed in Alexandria.

The structure in POSCAR format:
```
Al3CuTc
1.0
-2.1748 6.6863 5.3448
2.1748 -6.6863 5.3448
2.1748 6.6863 -5.3448
Al Cu Tc
12 4 4
Direct
0.0103 0.1466 0.8637
0.1981 0.5516 0.6465
0.2170 0.8534 0.3637
0.2275 0.1568 0.0708
0.4051 0.5516 0.8535
0.4140 0.8432 0.5708
0.5860 0.1568 0.4292
0.5949 0.4484 0.1465
0.7725 0.8432 0.9292
0.7830 0.1466 0.6363
0.8019 0.4484 0.3535
0.9897 0.8534 0.1363
0.1008 0.3508 0.7500
0.3089 0.0589 0.2500
0.6911 0.9411 0.7500
0.8992 0.6492 0.2500
0.1086 0.6408 0.4678
0.3271 0.3592 0.9678
0.6729 0.6408 0.0322
0.8914 0.3592 0.5322
```

formation enthalpy at 0 K	-0.206	eV per atom
SG	Imma (74)
size of the total moment	0.00	μB per formula unit
energy relative to the lowest polymorph listed for this composition	0.000	eV per atom

---

First-principles (GGA-PBE) data for a geometry-optimized AlCuTc structure, as listed in Alexandria.

The structure in POSCAR format:
```
AlCuTc
1.0
-1.3540 1.6446 4.5832
1.3540 -1.6446 4.5832
1.3540 1.6446 -4.5832
Al Cu Tc
1 1 1
Direct
0.0000 0.0000 0.0000
0.6504 0.6504 0.0000
0.3266 0.3266 0.0000
```

formation enthalpy at 0 K	-0.049	eV per atom
SG	Imm2 (44)
size of the total moment	0.00	μB per formula unit
energy relative to the lowest polymorph listed for this composition	0.025	eV per atom

---

First-principles (GGA-PBE) data for a geometry-optimized Al3CuTc structure, as listed in Alexandria.

The structure in POSCAR format:
```
Al3CuTc
1.0
4.6963 0.0000 0.0000
0.0000 4.6963 0.0000
0.0000 0.0000 4.6963
Al Cu Tc
3 1 1
Direct
0.0000 0.0000 0.5000
0.0000 0.5000 0.0000
0.5000 0.0000 0.0000
0.5000 0.5000 0.5000
0.0000 0.0000 0.0000
```

formation enthalpy at 0 K	0.473	eV per atom
SG	Pm-3m (221)
size of the total moment	0.00	μB per formula unit
energy relative to the lowest polymorph listed for this composition	0.679	eV per atom